No. 1
Er3Si4Ir2 after structural relaxation. Source: Alexandria via LeMat-Bulk, functional PBE.

Results
The total magnetization comes out at 0.0 Bohr magnetons per cell. The calculation puts the density of states at the Fermi level at 0.44 states/eV per atom. As for the uncorrected formation energy: -8.5 eV/f.u. The space group is C2/m (12).

Cell lengths 4.147, 5.681, 7.949 Å; angles 106.95, 90.00, 111.41 degrees
Fractional positions:
Er1 0.619 0.237 0.700
Er2 0.000 0.000 0.000
Er3 0.381 0.763 0.300
Si1 0.719 0.438 0.074
Si2 0.281 0.562 0.926
Si3 0.908 0.817 0.593
Si4 0.092 0.183 0.407
Ir1 0.687 0.375 0.361
Ir2 0.313 0.625 0.639

=====

No. 2
Er2Si9Ir3 after structural relaxation. Source: Alexandria via LeMat-Bulk, functional PBE.

Results
The total magnetization comes out at 0.0 Bohr magnetons per cell. The calculation puts the density of states at the Fermi level at 0.42 states/eV per atom. As for the uncorrected formation energy: -5.8 eV/f.u. The space group is C2/c (15).

Cell lengths 7.435, 7.435, 9.988 Å; angles 91.61, 111.57, 117.92 degrees
Fractional positions:
Er1 0.317 0.275 0.741
Er2 0.683 0.725 0.259
Er3 0.034 0.577 0.759
Er4 0.966 0.423 0.241
Si1 0.469 0.910 0.750
Si2 0.531 0.090 0.250
Si3 0.660 0.719 0.750
Si4 0.340 0.281 0.250
Si5 0.471 0.641 0.947
Si6 0.529 0.359 0.053
Si7 0.194 0.524 0.553
Si8 0.806 0.476 0.447
Si9 0.853 0.103 0.750
Si10 0.147 0.897 0.250
Si11 0.113 0.972 0.909
Si12 0.887 0.028 0.091
Si13 0.563 0.204 0.591
Si14 0.437 0.796 0.409
Si15 0.895 0.852 0.592
Si16 0.105 0.148 0.408
Si17 0.760 0.303 0.908
Si18 0.240 0.697 0.092
Ir1 0.500 0.000 0.000
Ir2 0.500 0.500 0.500
Ir3 0.802 0.124 0.497
Ir4 0.198 0.876 0.503
Ir5 0.126 0.304 0.003
Ir6 0.874 0.696 0.997

=====

No. 3
ErSi2Ir4 after structural relaxation. Source: Alexandria via LeMat-Bulk, functional PBE.

Results
The total magnetization comes out at 0.0 Bohr magnetons per cell. The calculation puts the density of states at the Fermi level at 0.40 states/eV per atom. As for the uncorrected formation energy: -4.9 eV/f.u. The space group is Cmmm (65). As for the polymorph energy (0 for the lowest one): 4.1 kJ per mole of atoms.

Cell lengths 4.012, 4.074, 7.125 Å; angles 106.61, 90.00, 90.00 degrees
Fractional positions:
Er1 0.000 0.000 0.000
Si1 0.500 0.587 0.175
Si2 0.500 0.413 0.825
Ir1 0.500 0.826 0.652
Ir2 0.000 0.680 0.360
Ir3 0.500 0.174 0.348
Ir4 0.000 0.320 0.640

=====

No. 4
Er2Si4Ir5 after structural relaxation. Source: Alexandria via LeMat-Bulk, functional PBE.

Results
The total magnetization comes out at 0.0 Bohr magnetons per cell. The calculation puts the density of states at the Fermi level at 0.31 states/eV per atom. As for the uncorrected formation energy: -9.7 eV/f.u. The space group is Fmmm (69).

Cell lengths 5.580, 5.499, 7.627 Å; angles 79.31, 68.55, 59.51 degrees
Fractional positions:
Er1 0.876 0.000 0.248
Er2 0.124 0.000 0.752
Si1 0.478 0.308 0.736
Si2 0.522 0.692 0.264
Si3 0.214 0.308 0.264
Si4 0.786 0.692 0.736
Ir1 0.500 0.000 0.000
Ir2 0.000 0.500 0.000
Ir3 0.500 0.500 0.000
Ir4 0.250 0.500 0.500
Ir5 0.750 0.500 0.500

=====

No. 5
ErSiIr2 after structural relaxation. Source: Alexandria via LeMat-Bulk, functional PBE.

Results
The total magnetization comes out at 0.0 Bohr magnetons per cell. The calculation puts the density of states at the Fermi level at 0.74 states/eV per atom. As for the uncorrected formation energy: -3.2 eV/f.u. The space group is P4/nmm (129).

Cell lengths 3.939, 3.939, 9.265 Å; angles 90.00, 90.00, 90.00 degrees
Fractional positions:
Er1 0.500 0.000 0.210
Er2 0.000 0.500 0.790
Si1 0.500 0.000 0.648
Si2 0.000 0.500 0.352
Ir1 0.500 0.000 0.896
Ir2 0.000 0.500 0.104
Ir3 0.000 0.000 0.500
Ir4 0.500 0.500 0.500

=====

No. 6
ErSi2Ir2 after structural relaxation. Source: Alexandria via LeMat-Bulk, functional PBE.

Results
The total magnetization comes out at 0.0 Bohr magnetons per cell. The calculation puts the density of states at the Fermi level at 0.40 states/eV per atom. As for the uncorrected formation energy: -5.4 eV/f.u. The space group is I4/mmm (139).

Cell lengths 4.074, 4.074, 5.736 Å; angles 110.83, 110.83, 90.00 degrees
Fractional positions:
Si1 0.620 0.620 0.241
Si2 0.380 0.380 0.759
Ir1 0.250 0.750 0.500
Ir2 0.750 0.250 0.500
Er1 0.000 0.000 0.000

=====

No. 7
ErSiIr after structural relaxation. Source: Alexandria via LeMat-Bulk, functional PBE.

Results
The total magnetization comes out at 0.0 Bohr magnetons per cell. The calculation puts the density of states at the Fermi level at 0.72 states/eV per atom. As for the uncorrected formation energy: -3.0 eV/f.u. The space group is Cmcm (63).

Cell lengths 3.644, 5.544, 5.637 Å; angles 90.00, 90.00, 109.19 degrees
Fractional positions:
Si1 0.596 0.191 0.750
Si2 0.404 0.809 0.250
Ir1 0.000 0.000 0.500
Ir2 0.000 0.000 0.000
Er1 0.690 0.381 0.250
Er2 0.310 0.619 0.750

=====

No. 8
ErSi4Ir6 after structural relaxation. Source: Alexandria via LeMat-Bulk, functional PBE.

Results
The total magnetization comes out at 0.0 Bohr magnetons per cell. The calculation puts the density of states at the Fermi level at 0.24 states/eV per atom. As for the uncorrected formation energy: -9.4 eV/f.u. The space group is P-6m2 (187).

Cell lengths 3.821, 7.038, 7.038 Å; angles 120.00, 90.00, 90.00 degrees
Fractional positions:
Er1 0.000 0.000 0.000
Si1 0.500 0.804 0.608
Si2 0.500 0.392 0.196
Si3 0.500 0.804 0.196
Si4 0.000 0.333 0.667
Ir1 0.000 0.533 0.067
Ir2 0.500 0.606 0.803
Ir3 0.000 0.533 0.467
Ir4 0.000 0.933 0.467
Ir5 0.500 0.197 0.803
Ir6 0.500 0.197 0.394

=====

No. 9
Er2Si5Ir3 after structural relaxation. Source: Alexandria via LeMat-Bulk, functional PBE.

Results
The total magnetization comes out at 0.0 Bohr magnetons per cell. The calculation puts the density of states at the Fermi level at 0.42 states/eV per atom. As for the uncorrected formation energy: -9.6 eV/f.u. The space group is C2/c (15).

Cell lengths 5.803, 8.131, 8.131 Å; angles 89.13, 68.93, 68.93 degrees
Fractional positions:
Er1 0.270 0.860 0.598
Er2 0.230 0.402 0.140
Er3 0.730 0.140 0.402
Er4 0.770 0.598 0.860
Si1 0.345 0.050 0.262
Si2 0.155 0.738 0.950
Si3 0.655 0.950 0.738
Si4 0.845 0.262 0.050
Si5 0.250 0.226 0.774
Si6 0.750 0.774 0.226
Si7 0.250 0.499 0.501
Si8 0.750 0.501 0.499
Si9 0.250 0.775 0.225
Si10 0.750 0.225 0.775
Ir1 0.114 0.245 0.525
Ir2 0.386 0.475 0.755
Ir3 0.886 0.755 0.475
Ir4 0.614 0.525 0.245
Ir5 0.250 0.000 0.000
Ir6 0.750 0.000 0.000

=====

No. 10
ErSi3Ir5 after structural relaxation. Source: Alexandria via LeMat-Bulk, functional PBE.

Results
The total magnetization comes out at 0.0 Bohr magnetons per cell. The calculation puts the density of states at the Fermi level at 0.54 states/eV per atom. As for the uncorrected formation energy: -5.6 eV/f.u. The space group is Cmcm (63).

Cell lengths 3.883, 6.478, 12.381 Å; angles 90.00, 90.00, 107.44 degrees
Fractional positions:
Er1 0.845 0.691 0.750
Er2 0.155 0.309 0.250
Si1 0.386 0.771 0.957
Si2 0.876 0.751 0.250
Si3 0.386 0.771 0.543
Si4 0.614 0.229 0.457
Si5 0.124 0.249 0.750
Si6 0.614 0.229 0.043
Ir1 0.795 0.590 0.425
Ir2 0.205 0.410 0.925
Ir3 0.000 0.000 0.500
Ir4 0.000 0.000 0.000
Ir5 0.449 0.897 0.147
Ir6 0.551 0.103 0.853
Ir7 0.551 0.103 0.647
Ir8 0.795 0.590 0.075
Ir9 0.205 0.410 0.575
Ir10 0.449 0.897 0.353

=====

No. 11
ErSi4Ir4 after structural relaxation. Source: Alexandria via LeMat-Bulk, functional PBE.

Results
The total magnetization comes out at 0.0 Bohr magnetons per cell. The calculation puts the density of states at the Fermi level at 0.30 states/eV per atom. As for the uncorrected formation energy: -5.5 eV/f.u. The space group is I4/m (87).

Cell lengths 4.381, 8.473, 8.473 Å; angles 90.00, 90.00, 90.00 degrees
Fractional positions:
Er1 0.000 0.000 0.000
Er2 0.500 0.500 0.500
Si1 0.500 0.818 0.303
Si2 0.500 0.182 0.697
Si3 0.000 0.803 0.682
Si4 0.000 0.318 0.803
Si5 0.000 0.682 0.197
Si6 0.500 0.303 0.182
Si7 0.500 0.697 0.818
Si8 0.000 0.197 0.318
Ir1 0.500 0.416 0.851
Ir2 0.000 0.649 0.916
Ir3 0.500 0.584 0.149
Ir4 0.000 0.084 0.649
Ir5 0.500 0.851 0.584
Ir6 0.000 0.916 0.351
Ir7 0.000 0.351 0.084
Ir8 0.500 0.149 0.416

=====

No. 12
Er2Si6Ir9 after structural relaxation. Source: Alexandria via LeMat-Bulk, functional PBE.

Results
The total magnetization comes out at 0.0 Bohr magnetons per cell. The calculation puts the density of states at the Fermi level at 0.32 states/eV per atom. As for the uncorrected formation energy: -11.6 eV/f.u. The space group is P6/mmm (191).

Cell lengths 5.586, 5.586, 10.857 Å; angles 90.00, 90.00, 120.00 degrees
Fractional positions:
Er1 0.000 0.000 0.695
Er2 0.000 0.000 0.305
Si1 0.333 0.667 0.000
Si2 0.667 0.333 0.000
Si3 0.333 0.667 0.666
Si4 0.667 0.333 0.666
Si5 0.667 0.333 0.334
Si6 0.333 0.667 0.334
Ir1 0.500 0.000 0.832
Ir2 0.000 0.500 0.832
Ir3 0.500 0.500 0.832
Ir4 0.500 0.000 0.168
Ir5 0.000 0.500 0.168
Ir6 0.500 0.500 0.168
Ir7 0.500 0.000 0.500
Ir8 0.000 0.500 0.500
Ir9 0.500 0.500 0.500

=====

No. 13
ErSi2Ir5 after structural relaxation. Source: Alexandria via LeMat-Bulk, functional PBE.

Results
The total magnetization comes out at 0.0 Bohr magnetons per cell. The calculation puts the density of states at the Fermi level at 0.80 states/eV per atom. As for the uncorrected formation energy: -5.4 eV/f.u. The space group is Immm (71).

Cell lengths 3.855, 6.223, 6.223 Å; angles 67.11, 71.95, 71.95 degrees
Fractional positions:
Er1 0.000 0.000 0.000
Si1 0.754 0.746 0.746
Si2 0.246 0.254 0.254
Ir1 0.000 0.500 0.500
Ir2 0.643 0.559 0.155
Ir3 0.357 0.441 0.845
Ir4 0.357 0.845 0.441
Ir5 0.643 0.155 0.559

=====

No. 14
ErSi3Ir2 after structural relaxation. Source: Alexandria via LeMat-Bulk, functional PBE.

Results
The total magnetization comes out at 0.0 Bohr magnetons per cell. The calculation puts the density of states at the Fermi level at 0.46 states/eV per atom. As for the uncorrected formation energy: -4.4 eV/f.u. The space group is C2/m (12).

Cell lengths 4.029, 7.627, 7.480 Å; angles 111.64, 105.62, 90.00 degrees
Fractional positions:
Er1 0.145 0.085 0.291
Er2 0.855 0.915 0.709
Si1 0.673 0.436 0.346
Si2 0.016 0.353 0.033
Si3 0.364 0.233 0.727
Si4 0.636 0.767 0.273
Si5 0.984 0.647 0.967
Si6 0.327 0.564 0.654
Ir1 0.511 0.179 0.022
Ir2 0.489 0.821 0.978
Ir3 0.177 0.640 0.355
Ir4 0.823 0.360 0.645

=====

No. 15
Er4Si6Ir7 after structural relaxation. Source: Alexandria via LeMat-Bulk, functional PBE.

Results
The total magnetization comes out at 0.0 Bohr magnetons per cell. The calculation puts the density of states at the Fermi level at 0.46 states/eV per atom. As for the uncorrected formation energy: -17.7 eV/f.u. The space group is Im-3m (229).

Cell lengths 7.144, 7.144, 7.144 Å; angles 109.47, 109.47, 109.47 degrees
Fractional positions:
Er1 0.500 0.000 0.000
Er2 0.500 0.500 0.500
Er3 0.000 0.500 0.000
Er4 0.000 0.000 0.500
Si1 0.676 0.000 0.676
Si2 0.676 0.676 0.000
Si3 0.000 0.324 0.324
Si4 0.324 0.000 0.324
Si5 0.324 0.324 0.000
Si6 0.000 0.676 0.676
Ir1 0.750 0.500 0.250
Ir2 0.250 0.750 0.500
Ir3 0.500 0.750 0.250
Ir4 0.750 0.250 0.500
Ir5 0.250 0.500 0.750
Ir6 0.500 0.250 0.750
Ir7 0.000 0.000 0.000

=====

No. 16
Er2Si2Ir5 after structural relaxation. Source: Alexandria via LeMat-Bulk, functional PBE.

Results
The total magnetization comes out at 0.0 Bohr magnetons per cell. The calculation puts the density of states at the Fermi level at 0.45 states/eV per atom. As for the uncorrected formation energy: -7.4 eV/f.u. The space group is P4/mmm (123).

Cell lengths 4.116, 4.116, 8.809 Å; angles 90.00, 90.00, 90.00 degrees
Fractional positions:
Er1 0.000 0.000 0.000
Er2 0.000 0.000 0.500
Si1 0.500 0.500 0.136
Si2 0.500 0.500 0.864
Ir1 0.500 0.000 0.268
Ir2 0.500 0.000 0.732
Ir3 0.500 0.500 0.500
Ir4 0.000 0.500 0.268
Ir5 0.000 0.500 0.732

=====

No. 17
Er3Si2Ir after structural relaxation. Source: Alexandria via LeMat-Bulk, functional PBE.

Results
The total magnetization comes out at 0.0 Bohr magnetons per cell. The calculation puts the density of states at the Fermi level at 0.69 states/eV per atom. As for the uncorrected formation energy: -5.1 eV/f.u. The space group is Pnma (62).

Cell lengths 4.159, 11.131, 11.421 Å; angles 90.00, 90.00, 90.00 degrees
Fractional positions:
Er1 0.250 0.377 0.057
Er2 0.750 0.623 0.943
Er3 0.750 0.877 0.443
Er4 0.250 0.123 0.557
Er5 0.250 0.699 0.215
Er6 0.750 0.301 0.785
Er7 0.750 0.199 0.285
Er8 0.250 0.801 0.715
Er9 0.250 0.442 0.380
Er10 0.750 0.558 0.620
Er11 0.750 0.942 0.120
Er12 0.250 0.058 0.880
Si1 0.250 0.689 0.482
Si2 0.750 0.311 0.518
Si3 0.750 0.189 0.018
Si4 0.250 0.811 0.982
Si5 0.250 0.003 0.307
Si6 0.750 0.997 0.693
Si7 0.750 0.503 0.193
Si8 0.250 0.497 0.807
Ir1 0.250 0.134 0.129
Ir2 0.750 0.866 0.871
Ir3 0.750 0.634 0.371
Ir4 0.250 0.366 0.629

=====

No. 18
Er2Si2SnIr5 after structural relaxation. Source: Alexandria via LeMat-Bulk, functional PBE.

Results
The total magnetization comes out at 0.0 Bohr magnetons per cell. The calculation puts the density of states at the Fermi level at 0.43 states/eV per atom. As for the uncorrected formation energy: -8.4 eV/f.u. The space group is P4/mbm (127).

Cell lengths 3.609, 9.669, 9.669 Å; angles 90.00, 90.00, 90.00 degrees
Fractional positions:
Er1 0.000 0.676 0.176
Er2 0.000 0.324 0.824
Er3 0.000 0.176 0.324
Er4 0.000 0.824 0.676
Si1 0.000 0.122 0.622
Si2 0.000 0.878 0.378
Si3 0.000 0.622 0.878
Si4 0.000 0.378 0.122
Sn1 0.000 0.000 0.000
Sn2 0.000 0.500 0.500
Ir1 0.500 0.216 0.069
Ir2 0.500 0.784 0.931
Ir3 0.500 0.069 0.784
Ir4 0.500 0.716 0.431
Ir5 0.500 0.931 0.216
Ir6 0.500 0.284 0.569
Ir7 0.500 0.569 0.716
Ir8 0.500 0.431 0.284
Ir9 0.500 0.500 0.000
Ir10 0.500 0.000 0.500

=====

No. 19
Tb2Er2Si4Ir after structural relaxation. Source: Alexandria via LeMat-Bulk, functional PBE.

Results
The total magnetization comes out at 0.0 Bohr magnetons per cell. The calculation puts the density of states at the Fermi level at 0.92 states/eV per atom. As for the uncorrected formation energy: -3.6 eV/f.u. The space group is I4/mmm (139).

Cell lengths 6.426, 6.426, 6.426 Å; angles 97.27, 115.90, 115.90 degrees
Fractional positions:
Tb1 0.500 0.750 0.250
Tb2 0.500 0.250 0.750
Er1 0.000 0.688 0.688
Er2 0.000 0.312 0.312
Si1 0.000 0.751 0.249
Si2 0.502 0.751 0.751
Si3 0.000 0.249 0.751
Si4 0.498 0.249 0.249
Ir1 0.000 0.000 0.000